1.
# SrCd2Tc PBE optimized geometry
# Total moment = 1.649 μB/f.u.
# E = -3.131 eV/atom
# Crystal system = orthorhombic
# Offset from the most stable computed form = 0.0 meV/atom
# ΔH_f (0 K) = 0.3382 eV/atom
data_SrCd2Tc
_chemical_formula_sum 'Sr1 Cd2 Tc1'
_symmetry_space_group_name_H-M 'P m m m'
_symmetry_Int_Tables_number 47
_cell_length_a 3.270
_cell_length_b 4.026
_cell_length_c 7.134
_cell_angle_alpha 90.00
_cell_angle_beta 90.00
_cell_angle_gamma 90.00
loop_
_symmetry_equiv_pos_as_xyz
'x,y,z'
'-x,-y,-z'
'-x,-y,z'
'x,y,-z'
'x,-y,-z'
'-x,y,z'
'-x,y,-z'
'x,-y,z'
loop_
_atom_site_label
_atom_site_type_symbol
_atom_site_fract_x
_atom_site_fract_y
_atom_site_fract_z
Sr1 Sr 0.000 0.000 0.000
Cd1 Cd 0.500 0.500 0.303
Tc1 Tc 0.000 0.000 0.500

2.
# Li3TiMn2S6 PBE optimized geometry
# Total moment = 9.007 μB/f.u.
# E = -5.770 eV/atom
# Formation energy without anion corrections = -1042 meV/atom
# Crystal system = monoclinic
data_Li3TiMn2S6
_chemical_formula_sum 'Li6 Ti2 Mn4 S12'
_symmetry_space_group_name_H-M 'C 1 2/m 1'
_symmetry_Int_Tables_number 12
_cell_length_a 6.155
_cell_length_b 10.725
_cell_length_c 6.338
_cell_angle_alpha 90.00
_cell_angle_beta 108.73
_cell_angle_gamma 90.00
loop_
_symmetry_equiv_pos_as_xyz
'x,y,z'
'-x,-y,-z'
'-x,y,-z'
'x,-y,z'
'x+1/2,y+1/2,z'
'-x+1/2,-y+1/2,-z'
'-x+1/2,y+1/2,-z'
'x+1/2,-y+1/2,z'
loop_
_atom_site_label
_atom_site_type_symbol
_atom_site_fract_x
_atom_site_fract_y
_atom_site_fract_z
Li1 Li 0.000 0.000 0.000
Li2 Li 0.000 0.331 0.000
Ti1 Ti 0.000 0.500 0.500
Mn1 Mn 0.000 0.166 0.500
S1 S 0.243 0.336 0.731
S2 S 0.250 0.000 0.732